[1]
FeAuS2Cl | PBE | optimized geometry

D(E_F) = 6.87 states/eV per cell
formation energy (no corrections) = 854 meV per atom
DFT total energy = -3.514 eV per atom
ΔE to the lowest computed polymorph = 425 meV/atom

a b c (Å): 4.8783 4.8783 4.8473
angles (deg): 90.00 90.00 90.00
Closest atoms and distances in Å follow each position.
Space group P4/mmm (No. 123)
Symmetry-distinct sites (fractional):
Fe1 0.0000 0.0000 0.0000  8 S 3.44, 4 Cl 3.45
Au1 0.5000 0.5000 0.5000  2 Cl 2.42, 4 S 2.44
S1 0.0000 0.5000 0.5000  2 Au 2.44
Cl1 0.5000 0.5000 0.0000  2 Au 2.42

---

[2]
FeSiAu2Cl | PBE | optimized geometry

D(E_F) = 6.34 states/eV per cell
formation energy (no corrections) = 1372 meV per atom
DFT total energy = -3.085 eV per atom

a b c (Å): 4.8521 4.8521 4.7773
angles (deg): 90.00 90.00 90.00
Closest atoms and distances in Å follow each position.
Space group P4/mmm (No. 123)
Symmetry-distinct sites (fractional):
Fe1 0.0000 0.0000 0.0000  8 Au 3.40, 4 Si 3.43
Si1 0.5000 0.5000 0.0000  2 Cl 2.39
Au1 0.0000 0.5000 0.5000  2 Cl 2.43
Cl1 0.5000 0.5000 0.5000  2 Si 2.39, 4 Au 2.43

---

[3]
FeWAu2Cl | PBE | optimized geometry

D(E_F) = 5.89 states/eV per cell
formation energy (no corrections) = 1727 meV per atom
DFT total energy = -4.237 eV per atom

a b c (Å): 4.8216 4.8216 4.3662
angles (deg): 90.00 90.00 90.00
Closest atoms and distances in Å follow each position.
Space group P4/mmm (No. 123)
Symmetry-distinct sites (fractional):
Fe1 0.0000 0.0000 0.0000  8 Au 3.25, 4 W 3.41
W1 0.5000 0.5000 0.0000  2 Cl 2.18
Au1 0.0000 0.5000 0.5000  2 Cl 2.41
Cl1 0.5000 0.5000 0.5000  2 W 2.18, 4 Au 2.41

---

[4]
GaAu3Cl | PBE | optimized geometry

D(E_F) = 4.72 states/eV per cell
formation energy (no corrections) = 790 meV per atom
DFT total energy = -2.151 eV per atom
ΔE to the lowest computed polymorph = 363 meV/atom

a b c (Å): 5.0212 5.0212 5.0212
angles (deg): 90.00 90.00 90.00
Closest atoms and distances in Å follow each position.
Space group Pm-3m (No. 221)
Symmetry-distinct sites (fractional):
Ga1 0.0000 0.0000 0.0000  12 Au 3.55
Au1 0.0000 0.5000 0.5000  2 Cl 2.51
Cl1 0.5000 0.5000 0.5000  6 Au 2.51

---

[5]
GaAuCl2 | PBE | optimized geometry

D(E_F) = 0.00 states/eV per cell
formation energy (no corrections) = -257 meV per atom
DFT total energy = -2.756 eV per atom
ΔE to the lowest computed polymorph = 0 meV/atom

a b c (Å): 5.9538 5.9538 14.0583
angles (deg): 90.00 90.00 90.00
Closest atoms and distances in Å follow each position.
Space group I-42d (No. 122)
Symmetry-distinct sites (fractional):
Ga1 0.0000 0.0000 0.0000  4 Cl 2.91
Au1 0.0000 0.0000 0.5000  4 Cl 2.60
Cl1 0.2024 0.2500 0.6250  2 Au 2.60, 2 Ga 2.91

---

[6]
GaAu3Cl | PBE | optimized geometry

D(E_F) = 8.05 states/eV per cell
formation energy (no corrections) = 428 meV per atom
DFT total energy = -2.513 eV per atom
ΔE to the lowest computed polymorph = 0 meV/atom

a b c (Å): 4.9466 4.9466 4.9466
angles (deg): 90.00 90.00 90.00
Closest atoms and distances in Å follow each position.
Space group Pm-3m (No. 221)
Symmetry-distinct sites (fractional):
Ga1 0.0000 0.0000 0.0000  6 Au 2.47
Au1 0.0000 0.0000 0.5000  2 Ga 2.47
Cl1 0.5000 0.5000 0.5000  12 Au 3.50

---

Q: Which value of formation energy (no corrections) does entry 2 give?
A: 1372 meV per atom

---

Q: D(E_F) of number 2 (FeSiAu2Cl)?
A: 6.34 states/eV per cell

---

Please write out number 5 again, unchanged.
GaAuCl2 | PBE | optimized geometry

D(E_F) = 0.00 states/eV per cell
formation energy (no corrections) = -257 meV per atom
DFT total energy = -2.756 eV per atom
ΔE to the lowest computed polymorph = 0 meV/atom

a b c (Å): 5.9538 5.9538 14.0583
angles (deg): 90.00 90.00 90.00
Closest atoms and distances in Å follow each position.
Space group I-42d (No. 122)
Symmetry-distinct sites (fractional):
Ga1 0.0000 0.0000 0.0000  4 Cl 2.91
Au1 0.0000 0.0000 0.5000  4 Cl 2.60
Cl1 0.2024 0.2500 0.6250  2 Au 2.60, 2 Ga 2.91